P | Here is Sc4Si after structural relaxation from Alexandria via LeMat-Bulk. Energies are from PBE.

Results
symmetry: Pm-3m, No. 221
V: 130.2 Å³/cell
total magnetization: 0.17 μB per atom

Lattice parameters (Å, degrees): 5.0689 5.0689 5.0689 90.00 90.00 90.00
Positions (direct):
1 Sc 0.0000 0.0000 0.0000
2 Sc 0.0000 0.5000 0.5000
3 Sc 0.5000 0.0000 0.5000
4 Sc 0.5000 0.5000 0.0000
5 Si 0.5000 0.5000 0.5000



Q | Here is Sc4Si after structural relaxation from Alexandria via LeMat-Bulk. Energies are from PBE.

Results
symmetry: I4/mmm, No. 139
V: 116.3 Å³/cell
total magnetization: 0.00 μB per atom

Lattice parameters (Å, degrees): 8.4069 8.4069 8.4069 153.72 153.72 37.50
Positions (direct):
1 Sc 0.0836 0.0836 0.0000
2 Sc 0.2500 0.7500 0.5000
3 Sc 0.7500 0.2500 0.5000
4 Sc 0.9164 0.9164 0.0000
5 Si 0.5000 0.5000 0.0000



R | Here is Sc4Si after structural relaxation from Alexandria via LeMat-Bulk. Energies are from PBE.

Results
symmetry: Im-3m, No. 229
V: 123.9 Å³/cell
total magnetization: 0.00 μB per atom

Lattice parameters (Å, degrees): 5.4397 5.4397 5.4397 109.47 109.47 109.47
Positions (direct):
1 Sc 0.0000 0.0000 0.5000
2 Sc 0.0000 0.5000 0.0000
3 Sc 0.5000 0.0000 0.0000
4 Sc 0.5000 0.5000 0.5000
5 Si 0.0000 0.0000 0.0000



In order of decreasing stability: P, R, Q.



P | Here is Sc5Si after structural relaxation from Alexandria via LeMat-Bulk. Energies are from PBE.

Results
symmetry: Cmmm, No. 65
V: 128.5 Å³/cell
total magnetization: 0.16 μB per atom

Lattice parameters (Å, degrees): 7.0830 7.0830 4.3897 90.00 90.00 144.32
Positions (direct):
1 Sc 0.0000 0.0000 0.0000
2 Sc 0.1554 0.8446 0.5000
3 Sc 0.3353 0.6647 0.0000
4 Sc 0.6647 0.3353 0.0000
5 Sc 0.8446 0.1554 0.5000
6 Si 0.5000 0.5000 0.5000



Q | Here is Sc5Si after structural relaxation from Alexandria via LeMat-Bulk. Energies are from PBE.

Results
symmetry: Cm, No. 8
V: 133.7 Å³/cell
total magnetization: 0.00 μB per atom

Lattice parameters (Å, degrees): 5.8140 5.8140 7.7229 112.02 112.02 33.83
Positions (direct):
1 Sc 0.0000 0.0000 0.0000
2 Sc 0.0271 0.0271 0.4329
3 Sc 0.3100 0.3100 0.1594
4 Sc 0.3373 0.3373 0.5928
5 Sc 0.6682 0.6682 0.7961
6 Si 0.6687 0.6687 0.2965



R | Here is Sc5Si after structural relaxation from Alexandria via LeMat-Bulk. Energies are from PBE.

Results
symmetry: Amm2, No. 38
V: 130.3 Å³/cell
total magnetization: 0.00 μB per atom

Lattice parameters (Å, degrees): 4.8331 8.2621 8.2621 23.26 90.00 90.00
Positions (direct):
1 Sc 0.0000 0.0000 0.0000
2 Sc 0.0000 0.3174 0.3174
3 Sc 0.0000 0.6508 0.6508
4 Sc 0.5000 0.1979 0.1979
5 Sc 0.5000 0.8782 0.8782
6 Si 0.5000 0.5443 0.5443



In order of decreasing stability: P, Q, R.



P | Here is Sc2Si3 after structural relaxation from Alexandria via LeMat-Bulk. Energies are from PBE.

Results
symmetry: Fdd2, No. 43
V: 166.1 Å³/cell
total magnetization: 0.00 μB per atom

Lattice parameters (Å, degrees): 7.3705 5.2481 8.2158 61.82 38.88 79.30
Positions (direct):
1 Sc 0.1277 0.8723 0.2704
2 Sc 0.5204 0.9796 0.3777
3 Sc 0.8723 0.1277 0.7296
4 Sc 0.9796 0.5204 0.1223
5 Si 0.1485 0.1485 0.8515
6 Si 0.3985 0.3985 0.1015
7 Si 0.4564 0.5513 0.3046
8 Si 0.5513 0.4564 0.6877
9 Si 0.5623 0.9454 0.6987
10 Si 0.9454 0.5623 0.7936



Q | Here is Sc2Si3 after structural relaxation from Alexandria via LeMat-Bulk. Energies are from PBE.

Results
symmetry: P-6m2, No. 187
V: 91.8 Å³/cell
total magnetization: 0.00 μB per atom

Lattice parameters (Å, degrees): 4.0795 4.0795 6.3705 90.00 90.00 120.00
Positions (direct):
1 Sc 0.0000 0.0000 0.2368
2 Sc 0.0000 0.0000 0.7632
3 Si 0.3333 0.6667 0.5000
4 Si 0.6667 0.3333 0.0000
5 Si 0.6667 0.3333 0.5000



In order of decreasing stability: P, Q.



P | Here is Sm2ScSi2 after structural relaxation from Alexandria via LeMat-Bulk. Energies are from PBE.

Results
symmetry: Immm, No. 71
V: 117.4 Å³/cell
total magnetization: 0.00 μB per atom

Lattice parameters (Å, degrees): 5.8942 5.8942 5.8942 137.89 118.54 77.32
Positions (direct):
1 Sm 0.2042 0.2042 0.0000
2 Sm 0.7958 0.7958 0.0000
3 Sc 0.5000 0.0000 0.5000
4 Si 0.2061 0.5000 0.7061
5 Si 0.7939 0.5000 0.2939



Q | Here is Sm2ScSi2 after structural relaxation from Alexandria via LeMat-Bulk. Energies are from PBE.

Results
symmetry: P4/mbm, No. 127
V: 233.3 Å³/cell
total magnetization: 0.00 μB per atom

Lattice parameters (Å, degrees): 7.3294 7.3294 4.3422 90.00 90.00 90.00
Positions (direct):
1 Sm 0.1772 0.3228 0.0000
2 Sm 0.3228 0.8228 0.0000
3 Sm 0.6772 0.1772 0.0000
4 Sm 0.8228 0.6772 0.0000
5 Sc 0.0000 0.0000 0.5000
6 Sc 0.5000 0.5000 0.5000
7 Si 0.1189 0.6189 0.5000
8 Si 0.3811 0.1189 0.5000
9 Si 0.6189 0.8811 0.5000
10 Si 0.8811 0.3811 0.5000



In order of decreasing stability: Q, P.



P | Here is Sc2SiSn2 after structural relaxation from Alexandria via LeMat-Bulk. Energies are from PBE.

Results
symmetry: P4/mbm, No. 127
V: 227.4 Å³/cell
total magnetization: 0.00 μB per atom

Lattice parameters (Å, degrees): 7.1004 7.1004 4.5108 90.00 90.00 90.00
Positions (direct):
1 Sc 0.1663 0.3337 0.0000
2 Sc 0.3337 0.8337 0.0000
3 Sc 0.6663 0.1663 0.0000
4 Sc 0.8337 0.6663 0.0000
5 Si 0.0000 0.0000 0.0000
6 Si 0.5000 0.5000 0.0000
7 Sn 0.1482 0.6482 0.5000
8 Sn 0.3518 0.1482 0.5000
9 Sn 0.6482 0.8518 0.5000
10 Sn 0.8518 0.3518 0.5000



Q | Here is Sc2SiSn2 after structural relaxation from Alexandria via LeMat-Bulk. Energies are from PBE.

Results
symmetry: P4/mbm, No. 127
V: 226.9 Å³/cell
total magnetization: 0.00 μB per atom

Lattice parameters (Å, degrees): 7.3286 7.3286 4.2253 90.00 90.00 90.00
Positions (direct):
1 Sc 0.1698 0.3302 0.0000
2 Sc 0.3302 0.8302 0.0000
3 Sc 0.6698 0.1698 0.0000
4 Sc 0.8302 0.6698 0.0000
5 Si 0.0000 0.0000 0.5000
6 Si 0.5000 0.5000 0.5000
7 Sn 0.1389 0.6389 0.5000
8 Sn 0.3611 0.1389 0.5000
9 Sn 0.6389 0.8611 0.5000
10 Sn 0.8611 0.3611 0.5000



In order of decreasing stability: P, Q.



P | Here is SrSc2Si2 after structural relaxation from Alexandria via LeMat-Bulk. Energies are from PBE.

Results
symmetry: I4/mmm, No. 139
V: 132.5 Å³/cell
total magnetization: 0.17 μB per atom

Lattice parameters (Å, degrees): 6.3227 6.3227 6.3227 133.06 133.06 68.56
Positions (direct):
1 Sr 0.0000 0.0000 0.0000
2 Sc 0.3271 0.3271 0.0000
3 Sc 0.6729 0.6729 0.0000
4 Si 0.2500 0.7500 0.5000
5 Si 0.7500 0.2500 0.5000



Q | Here is SrSc2Si2 after structural relaxation from Alexandria via LeMat-Bulk. Energies are from PBE.

Results
symmetry: P4/mbm, No. 127
V: 211.0 Å³/cell
total magnetization: 0.00 μB per atom

Lattice parameters (Å, degrees): 8.2692 8.2692 3.0857 90.00 90.00 90.00
Positions (direct):
1 Sr 0.0000 0.0000 0.0000
2 Sr 0.5000 0.5000 0.0000
3 Sc 0.1261 0.3739 0.0000
4 Sc 0.3739 0.8739 0.0000
5 Sc 0.6261 0.1261 0.0000
6 Sc 0.8739 0.6261 0.0000
7 Si 0.1685 0.6685 0.5000
8 Si 0.3315 0.1685 0.5000
9 Si 0.6685 0.8315 0.5000
10 Si 0.8315 0.3315 0.5000



R | Here is SrSc2Si2 after structural relaxation from Alexandria via LeMat-Bulk. Energies are from PBE.

Results
symmetry: I4/mmm, No. 139
V: 119.5 Å³/cell
total magnetization: 0.00 μB per atom

Lattice parameters (Å, degrees): 6.6812 6.6812 6.6812 140.53 140.53 57.05
Positions (direct):
1 Sr 0.0000 0.0000 0.0000
2 Sc 0.2500 0.7500 0.5000
3 Sc 0.7500 0.2500 0.5000
4 Si 0.3892 0.3892 0.0000
5 Si 0.6108 0.6108 0.0000



In order of decreasing stability: R, Q, P.



P | Here is SrSc3Si after structural relaxation from Alexandria via LeMat-Bulk. Energies are from PBE.

Results
symmetry: Pm-3m, No. 221
V: 144.7 Å³/cell
total magnetization: 0.00 μB per atom

Lattice parameters (Å, degrees): 5.2501 5.2501 5.2501 90.00 90.00 90.00
Positions (direct):
1 Sr 0.0000 0.0000 0.0000
2 Sc 0.0000 0.5000 0.5000
3 Sc 0.5000 0.0000 0.5000
4 Sc 0.5000 0.5000 0.0000
5 Si 0.5000 0.5000 0.5000



Q | Here is SrSc3Si after structural relaxation from Alexandria via LeMat-Bulk. Energies are from PBE.

Results
symmetry: Pm-3m, No. 221
V: 130.3 Å³/cell
total magnetization: 0.00 μB per atom

Lattice parameters (Å, degrees): 5.0691 5.0691 5.0691 90.00 90.00 90.00
Positions (direct):
1 Sr 0.0000 0.0000 0.0000
2 Sc 0.0000 0.0000 0.5000
3 Sc 0.0000 0.5000 0.0000
4 Sc 0.5000 0.0000 0.0000
5 Si 0.5000 0.5000 0.5000



In order of decreasing stability: P, Q.



P | Here is SrScSi2 after structural relaxation from Alexandria via LeMat-Bulk. Energies are from PBE.

Results
symmetry: I4/mmm, No. 139
V: 86.9 Å³/cell
total magnetization: 0.00 μB per atom

Lattice parameters (Å, degrees): 5.1962 5.1962 5.1962 126.87 126.87 78.46
Positions (direct):
1 Sr 0.0000 0.0000 0.0000
2 Sc 0.5000 0.5000 0.0000
3 Si 0.2500 0.7500 0.5000
4 Si 0.7500 0.2500 0.5000



Q | Here is SrScSi2 after structural relaxation from Alexandria via LeMat-Bulk. Energies are from PBE.

Results
symmetry: Imm2, No. 44
V: 96.4 Å³/cell
total magnetization: 0.00 μB per atom

Lattice parameters (Å, degrees): 6.7057 6.7057 6.7057 147.86 142.88 49.90
Positions (direct):
1 Sr 0.0000 0.0000 0.0000
2 Sc 0.2586 0.7586 0.5000
3 Si 0.6146 0.6146 0.0000
4 Si 0.7486 0.2486 0.5000



R | Here is SrScSi2 after structural relaxation from Alexandria via LeMat-Bulk. Energies are from PBE.

Results
symmetry: Cmmm, No. 65
V: 87.0 Å³/cell
total magnetization: 0.00 μB per atom

Lattice parameters (Å, degrees): 5.2917 5.2917 3.1824 90.00 90.00 102.63
Positions (direct):
1 Sr 0.0000 0.0000 0.0000
2 Sc 0.5000 0.5000 0.0000
3 Si 0.0000 0.5000 0.5000
4 Si 0.5000 0.0000 0.5000



S | Here is SrScSi2 after structural relaxation from Alexandria via LeMat-Bulk. Energies are from PBE.

Results
symmetry: Cmm2, No. 35
V: 93.6 Å³/cell
total magnetization: 0.00 μB per atom

Lattice parameters (Å, degrees): 3.4203 3.4203 8.0512 90.00 90.00 96.59
Positions (direct):
1 Sr 0.0000 0.0000 0.0000
2 Sc 0.5000 0.5000 0.6154
3 Si 0.0000 0.0000 0.4077
4 Si 0.5000 0.5000 0.2814



In order of decreasing stability: Q, P, R, S.



P | Here is Sr3ScSi after structural relaxation from Alexandria via LeMat-Bulk. Energies are from PBE.

Results
symmetry: Pm-3m, No. 221
V: 230.5 Å³/cell
total magnetization: 0.58 μB per atom

Lattice parameters (Å, degrees): 6.1311 6.1311 6.1311 90.00 90.00 90.00
Positions (direct):
1 Sr 0.0000 0.0000 0.5000
2 Sr 0.0000 0.5000 0.0000
3 Sr 0.5000 0.0000 0.0000
4 Sc 0.0000 0.0000 0.0000
5 Si 0.5000 0.5000 0.5000



Q | Here is Sr3ScSi after structural relaxation from Alexandria via LeMat-Bulk. Energies are from PBE.

Results
symmetry: Pm-3m, No. 221
V: 222.7 Å³/cell
total magnetization: 0.45 μB per atom

Lattice parameters (Å, degrees): 6.0616 6.0616 6.0616 90.00 90.00 90.00
Positions (direct):
1 Sr 0.0000 0.0000 0.5000
2 Sr 0.0000 0.5000 0.0000
3 Sr 0.5000 0.0000 0.0000
4 Sc 0.5000 0.5000 0.5000
5 Si 0.0000 0.0000 0.0000



In order of decreasing stability: Q, P.



P | Here is ScTaSi2 after structural relaxation from Alexandria via LeMat-Bulk. Energies are from PBE.

Results
symmetry: P2/c, No. 13
V: 260.3 Å³/cell
total magnetization: 0.00 μB per atom

Lattice parameters (Å, degrees): 5.1796 5.1948 10.0209 90.00 105.10 90.00
Positions (direct):
1 Sc 0.1999 0.1265 0.1466
2 Sc 0.1999 0.8735 0.6466
3 Sc 0.8001 0.1265 0.3534
4 Sc 0.8001 0.8735 0.8534
5 Ta 0.3006 0.3716 0.8564
6 Ta 0.3006 0.6284 0.3564
7 Ta 0.6994 0.3716 0.6436
8 Ta 0.6994 0.6284 0.1436
9 Si 0.1667 0.3739 0.5831
10 Si 0.1667 0.6261 0.0831
11 Si 0.3355 0.1296 0.4225
12 Si 0.3355 0.8704 0.9225
13 Si 0.6645 0.1296 0.0775
14 Si 0.6645 0.8704 0.5775
15 Si 0.8333 0.3739 0.9169
16 Si 0.8333 0.6261 0.4169



Q | Here is ScTaSi2 after structural relaxation from Alexandria via LeMat-Bulk. Energies are from PBE.

Results
symmetry: F-43m, No. 216
V: 65.6 Å³/cell
total magnetization: 0.00 μB per atom

Lattice parameters (Å, degrees): 4.5267 4.5267 4.5267 60.00 60.00 60.00
Positions (direct):
1 Sc 0.0000 0.0000 0.0000
2 Ta 0.2500 0.2500 0.2500
3 Si 0.5000 0.5000 0.5000
4 Si 0.7500 0.7500 0.7500



In order of decreasing stability: P, Q.